ScCdRe2: relaxed, GGA-PBE.

The space group is P4/mmm (No. 123) and the conventional cell measures 2.735, 2.735 and 9.275 Å, with angles of 90.00, 90.00 and 90.00 degrees. The distinct sites, in fractional coordinates, are Sc at (0.000, 0.000, 0.000), Cd at (0.000, 0.000, 0.500) and Re at (0.500, 0.500, 0.247).

Its calculated volume is 69.4 Å³/f.u. For the total magnetization, the calculation gives 0.00 μB/f.u. As for the total energy: -7.590 eV/atom.